[1]
Compound: Ni7Sn2Bi2Pt
Source: Alexandria via LeMat-Bulk
Functional: GGA-PBE
Structure: relaxed

```
data_Ni7Sn2Bi2Pt
_symmetry_space_group_name_H-M 'C 1 2/m 1'
_symmetry_Int_Tables_number 12
_cell_length_a 5.2787
_cell_length_b 5.3280
_cell_length_c 14.7155
_cell_angle_alpha 90.00
_cell_angle_beta 96.44
_cell_angle_gamma 90.00
loop_
_symmetry_equiv_pos_as_xyz
'x,y,z'
'-x,-y,-z'
'-x,y,-z'
'x,-y,z'
'x+1/2,y+1/2,z'
'-x+1/2,-y+1/2,-z'
'-x+1/2,y+1/2,-z'
'x+1/2,-y+1/2,z'
loop_
_atom_site_label
_atom_site_type_symbol
_atom_site_fract_x
_atom_site_fract_y
_atom_site_fract_z
_atom_site_occupancy
Ni1 Ni 0.0000 0.0000 0.0000 1
Ni2 Ni 0.1345 0.0000 0.4217 1
Ni3 Ni 0.2126 0.2503 0.8788 1
Sn1 Sn 0.0749 0.0000 0.2423 1
Bi1 Bi 0.1345 0.5000 0.4035 1
Pt1 Pt 0.0000 0.5000 0.0000 1
```

---

[2]
# TbYAgRu GGA-PBE relaxed
# - E above lowest polymorph: 58 meV per atom
data_TbYAgRu
_symmetry_space_group_name_H-M 'F -4 3 m'
_symmetry_Int_Tables_number 216
_symmetry_space_group_name_Hall 'F -4 2 3'
_cell_length_a 7.0406
_cell_length_b 7.0406
_cell_length_c 7.0406
_cell_angle_alpha 90.00
_cell_angle_beta 90.00
_cell_angle_gamma 90.00
loop_
_atom_site_label
_atom_site_type_symbol
_atom_site_fract_x
_atom_site_fract_y
_atom_site_fract_z
_atom_site_occupancy
Tb1 Tb 0.0000 0.0000 0.0000 1
Y1 Y 0.0000 0.0000 0.5000 1
Ag1 Ag 0.2500 0.2500 0.2500 1
Ru1 Ru 0.2500 0.2500 0.7500 1

---

[3]
Compound: LiReRh2
Source: Alexandria via LeMat-Bulk
Functional: GGA-PBE
Structure: relaxed

```
data_LiReRh2
_symmetry_space_group_name_H-M 'I m m m'
_symmetry_Int_Tables_number 71
_symmetry_space_group_name_Hall '-I 2 2'
_cell_length_a 2.8387
_cell_length_b 4.4671
_cell_length_c 8.3426
_cell_angle_alpha 90.00
_cell_angle_beta 90.00
_cell_angle_gamma 90.00
loop_
_atom_site_label
_atom_site_type_symbol
_atom_site_fract_x
_atom_site_fract_y
_atom_site_fract_z
_atom_site_occupancy
Li1 Li 0.0000 0.0000 0.0000 1
Re1 Re 0.0000 0.0000 0.5000 1
Rh1 Rh 0.0000 0.5000 0.2680 1
```

---

[4]
# KNd2Cu2Se4 GGA-PBE relaxed
# - Raw formation energy: -1.086 eV per atom
data_KNd2Cu2Se4
_symmetry_space_group_name_H-M 'C 1 2/m 1'
_symmetry_Int_Tables_number 12
_cell_length_a 15.6260
_cell_length_b 3.9145
_cell_length_c 7.6959
_cell_angle_alpha 90.00
_cell_angle_beta 114.71
_cell_angle_gamma 90.00
loop_
_symmetry_equiv_pos_as_xyz
'x,y,z'
'-x,-y,-z'
'-x,y,-z'
'x,-y,z'
'x+1/2,y+1/2,z'
'-x+1/2,-y+1/2,-z'
'-x+1/2,y+1/2,-z'
'x+1/2,-y+1/2,z'
loop_
_atom_site_label
_atom_site_type_symbol
_atom_site_fract_x
_atom_site_fract_y
_atom_site_fract_z
_atom_site_occupancy
K1 K 0.0000 0.0000 0.0000 1
Nd1 Nd 0.1251 0.0000 0.5588 1
Cu1 Cu 0.1954 0.5000 0.0104 1
Se1 Se 0.0372 0.5000 0.7293 1
Se2 Se 0.2178 0.0000 0.2398 1

---

[5]
Compound: SrZrTl2
Source: Alexandria via LeMat-Bulk
Functional: GGA-PBE
Structure: relaxed

```
data_SrZrTl2
_symmetry_space_group_name_H-M 'C 1 2/m 1'
_symmetry_Int_Tables_number 12
_cell_length_a 9.5776
_cell_length_b 3.5875
_cell_length_c 7.1431
_cell_angle_alpha 90.00
_cell_angle_beta 99.18
_cell_angle_gamma 90.00
loop_
_symmetry_equiv_pos_as_xyz
'x,y,z'
'-x,-y,-z'
'-x,y,-z'
'x,-y,z'
'x+1/2,y+1/2,z'
'-x+1/2,-y+1/2,-z'
'-x+1/2,y+1/2,-z'
'x+1/2,-y+1/2,z'
loop_
_atom_site_label
_atom_site_type_symbol
_atom_site_fract_x
_atom_site_fract_y
_atom_site_fract_z
_atom_site_occupancy
Sr1 Sr 0.0000 0.0000 0.0000 1
Zr1 Zr 0.0000 0.5000 0.5000 1
Tl1 Tl 0.2451 0.0000 0.7031 1
```

---

[6]
# Li3CaGa GGA-PBE relaxed
# - E above lowest polymorph: 94 meV per atom
data_Li3CaGa
_symmetry_space_group_name_H-M 'P m -3 m'
_symmetry_Int_Tables_number 221
_symmetry_space_group_name_Hall '-P 4 2 3'
_cell_length_a 4.9057
_cell_length_b 4.9057
_cell_length_c 4.9057
_cell_angle_alpha 90.00
_cell_angle_beta 90.00
_cell_angle_gamma 90.00
loop_
_atom_site_label
_atom_site_type_symbol
_atom_site_fract_x
_atom_site_fract_y
_atom_site_fract_z
_atom_site_occupancy
Li1 Li 0.0000 0.0000 0.5000 1
Ca1 Ca 0.5000 0.5000 0.5000 1
Ga1 Ga 0.0000 0.0000 0.0000 1

---

[7]
# Ca3Ta3WN8 GGA-PBE relaxed
# - Raw formation energy: -1.047 eV per atom
data_Ca3Ta3WN8
_symmetry_space_group_name_H-M 'R -3 m'
_symmetry_Int_Tables_number 166
_symmetry_space_group_name_Hall '-R 3 2"'
_cell_length_a 6.2365
_cell_length_b 6.2365
_cell_length_c 16.9491
_cell_angle_alpha 90.00
_cell_angle_beta 90.00
_cell_angle_gamma 120.00
loop_
_atom_site_label
_atom_site_type_symbol
_atom_site_fract_x
_atom_site_fract_y
_atom_site_fract_z
_atom_site_occupancy
Ca1 Ca 0.0000 0.5000 0.0000 1
Ta1 Ta 0.0000 0.5000 0.5000 1
W1 W 0.0000 0.0000 0.5000 1
N1 N 0.0000 0.0000 0.2383 1
N2 N 0.0046 0.5023 0.2344 1

---

[8]
# CdAs GGA-PBE relaxed
# - E above lowest polymorph: 211 meV per atom
data_CdAs
_symmetry_space_group_name_H-M 'C m c m'
_symmetry_Int_Tables_number 63
_symmetry_space_group_name_Hall '-C 2c 2'
_cell_length_a 4.2877
_cell_length_b 11.5850
_cell_length_c 3.6828
_cell_angle_alpha 90.00
_cell_angle_beta 90.00
_cell_angle_gamma 90.00
loop_
_atom_site_label
_atom_site_type_symbol
_atom_site_fract_x
_atom_site_fract_y
_atom_site_fract_z
_atom_site_occupancy
Cd1 Cd 0.0000 0.1529 0.2500 1
As1 As 0.0000 0.4100 0.2500 1

---

[9]
Compound: SrMgScAl
Source: Alexandria via LeMat-Bulk
Functional: GGA-PBE
Structure: relaxed

```
data_SrMgScAl
_symmetry_space_group_name_H-M 'F -4 3 m'
_symmetry_Int_Tables_number 216
_symmetry_space_group_name_Hall 'F -4 2 3'
_cell_length_a 7.4818
_cell_length_b 7.4818
_cell_length_c 7.4818
_cell_angle_alpha 90.00
_cell_angle_beta 90.00
_cell_angle_gamma 90.00
loop_
_atom_site_label
_atom_site_type_symbol
_atom_site_fract_x
_atom_site_fract_y
_atom_site_fract_z
_atom_site_occupancy
Sr1 Sr 0.0000 0.0000 0.0000 1
Mg1 Mg 0.2500 0.2500 0.7500 1
Sc1 Sc 0.0000 0.0000 0.5000 1
Al1 Al 0.2500 0.2500 0.2500 1
```

---

[10]
Compound: Ac2Al4Zn3Pt
Source: Alexandria via LeMat-Bulk
Functional: GGA-PBE
Structure: relaxed

```
data_Ac2Al4Zn3Pt
_symmetry_space_group_name_H-M 'P -4 m 2'
_symmetry_Int_Tables_number 115
_cell_length_a 4.4350
_cell_length_b 4.4350
_cell_length_c 10.7966
_cell_angle_alpha 90.00
_cell_angle_beta 90.00
_cell_angle_gamma 90.00
loop_
_symmetry_equiv_pos_as_xyz
'x,y,z'
'y,-x,-z'
'-x,-y,z'
'-y,x,-z'
'-x,y,z'
'-y,-x,-z'
'x,-y,z'
'y,x,-z'
loop_
_atom_site_label
_atom_site_type_symbol
_atom_site_fract_x
_atom_site_fract_y
_atom_site_fract_z
_atom_site_occupancy
Ac1 Ac 0.0000 0.5000 0.2451 1
Al1 Al 0.0000 0.0000 0.5000 1
Al2 Al 0.0000 0.5000 0.8799 1
Al3 Al 0.5000 0.5000 0.5000 1
Zn1 Zn 0.0000 0.0000 0.0000 1
Zn2 Zn 0.0000 0.5000 0.6349 1
Pt1 Pt 0.5000 0.5000 0.0000 1
```

---

[11]
Compound: Sr2Ca15Nd2
Source: Alexandria via LeMat-Bulk
Functional: GGA-PBE
Structure: relaxed

```
data_Sr2Ca15Nd2
_symmetry_space_group_name_H-M 'R -3 m'
_symmetry_Int_Tables_number 166
_symmetry_space_group_name_Hall '-R 3 2"'
_cell_length_a 12.5756
_cell_length_b 12.5756
_cell_length_c 18.7735
_cell_angle_alpha 90.00
_cell_angle_beta 90.00
_cell_angle_gamma 120.00
loop_
_atom_site_label
_atom_site_type_symbol
_atom_site_fract_x
_atom_site_fract_y
_atom_site_fract_z
_atom_site_occupancy
Sr1 Sr 0.0000 0.0000 0.1771 1
Ca1 Ca 0.0000 0.2917 0.5000 1
Ca2 Ca 0.0000 0.5000 0.0000 1
Ca3 Ca 0.0007 0.5003 0.3516 1
Nd1 Nd 0.0000 0.0000 0.4072 1
```

---

[12]
# GaSN2 GGA-PBE relaxed
# - Raw formation energy: 1.838 eV per atom
# - E above lowest polymorph: 1269 meV per atom
data_GaSN2
_symmetry_space_group_name_H-M 'F m -3 m'
_symmetry_Int_Tables_number 225
_symmetry_space_group_name_Hall '-F 4 2 3'
_cell_length_a 5.4936
_cell_length_b 5.4936
_cell_length_c 5.4936
_cell_angle_alpha 90.00
_cell_angle_beta 90.00
_cell_angle_gamma 90.00
loop_
_atom_site_label
_atom_site_type_symbol
_atom_site_fract_x
_atom_site_fract_y
_atom_site_fract_z
_atom_site_occupancy
Ga1 Ga 0.0000 0.0000 0.0000 1
S1 S 0.0000 0.0000 0.5000 1
N1 N 0.2500 0.2500 0.2500 1

---

| no. | E (eV/atom) |
| --- | --- |
| 1 | -5.15 |
| 2 | -6.14 |
| 3 | -7.17 |
| 4 | -4.73 |
| 5 | -3.75 |
| 6 | -2.21 |
| 7 | -9.12 |
| 8 | -2.65 |
| 9 | -3.39 |
| 10 | -3.84 |
| 11 | -2.13 |
| 12 | -4.11 |